Entry from Alexandria via LeMat-Bulk: a relaxed SrLi2ZnAu crystal (PBE).

```
SrLi2ZnAu
1.0
4.888 0.000 0.000
0.000 4.888 0.000
0.000 0.000 4.995
Sr Zn Li Au
1 1 2 1
Cartesian
2.444 2.444 2.498
0.000 0.000 0.000
2.444 0.000 0.000
0.000 2.444 0.000
0.000 0.000 2.498
```

Results
VASP energy ... -2.2236 eV per atom
Total magnetization ... 0.0 μB per formula unit
DOS(E_F) ... 2.58 states/eV per cell
Excess energy over the best structure of this formula in the dataset ... 38.0 meV/atom

---

Entry from Alexandria via LeMat-Bulk: a relaxed SrLi2ZnAu4 crystal (PBE).

```
SrLi2ZnAu4
1.0
-3.486 -2.734 0.708
-0.155 -4.005 -2.015
3.196 -6.015 6.719
Sr Au Zn Li
1 4 1 2
Cartesian
0.000 0.000 0.000
1.048 -7.463 4.767
-1.493 -5.292 0.645
-1.906 -8.222 1.509
1.461 -4.532 3.904
-0.222 -6.377 2.706
-0.555 -9.377 3.700
0.110 -3.378 1.712
```

Results
VASP energy ... -3.0052 eV per atom
Total magnetization ... 0.0 μB per formula unit
DOS(E_F) ... 2.17 states/eV per cell

---

Entry from Alexandria via LeMat-Bulk: a relaxed Sr2LiZn3Au12 crystal (PBE).

```
Sr2LiZn3Au12
1.0
-5.266 3.737 5.186
-1.550 -3.713 7.239
3.143 3.453 6.840
Au Sr Zn Li
12 2 3 1
Cartesian
-1.248 -1.492 6.087
-2.425 4.969 13.177
-3.961 0.411 8.660
-4.080 3.214 9.745
0.407 0.263 9.519
-3.166 2.353 5.027
0.288 3.066 10.605
-2.150 -0.656 10.812
1.174 2.207 5.881
-4.847 1.271 13.383
-1.523 4.133 8.453
-0.507 1.124 14.237
-1.384 1.310 7.260
-2.289 2.167 12.005
-0.775 -1.856 3.619
-2.633 1.869 2.593
1.571 1.726 3.420
0.000 0.000 0.000
```

Results
VASP energy ... -2.8453 eV per atom
Total magnetization ... 0.0 μB per formula unit
DOS(E_F) ... 8.47 states/eV per cell

---

Entry from Alexandria via LeMat-Bulk: a relaxed SrLiZnAu crystal (PBE).

```
SrLiZnAu
1.0
4.585 0.000 0.000
-2.293 3.953 -0.013
0.000 -2.645 5.367
Sr Zn Li Au
1 1 1 1
Cartesian
2.293 -0.382 2.761
0.000 -1.702 5.121
2.293 2.262 0.443
0.000 0.936 4.893
```

Results
VASP energy ... -2.4854 eV per atom
Total magnetization ... 0.0 μB per formula unit
DOS(E_F) ... 2.40 states/eV per cell
Excess energy over the best structure of this formula in the dataset ... 0.0 meV/atom

---

Entry from Alexandria via LeMat-Bulk: a relaxed SrLiZn2Au2 crystal (PBE).

```
SrLiZn2Au2
1.0
4.533 0.000 0.000
-2.266 3.925 0.000
0.000 0.000 7.113
Zn Au Li Sr
2 2 1 1
Cartesian
0.000 2.617 2.301
2.266 1.308 4.812
2.266 1.308 2.105
0.000 2.617 5.008
0.000 0.000 3.556
0.000 0.000 0.000
```

Results
VASP energy ... -2.6454 eV per atom
Total magnetization ... 0.0 μB per formula unit
DOS(E_F) ... 2.34 states/eV per cell

---

Entry from Alexandria via LeMat-Bulk: a relaxed SrLiZnAu crystal (PBE).

```
SrLiZnAu
1.0
5.139 0.000 0.000
2.569 4.450 0.000
2.569 1.483 4.196
Au Zn Li Sr
1 1 1 1
Cartesian
5.139 2.967 2.098
0.000 0.000 0.000
2.569 1.483 1.049
7.708 4.450 3.147
```

Results
VASP energy ... -2.3467 eV per atom
Total magnetization ... 0.0 μB per formula unit
DOS(E_F) ... 2.32 states/eV per cell
Excess energy over the best structure of this formula in the dataset ... 138.7 meV/atom

---

Entry from Alexandria via LeMat-Bulk: a relaxed Sr2LiZnAu6 crystal (PBE).

```
Sr2LiZnAu6
1.0
-1.593 -5.927 -3.660
5.728 1.714 -3.771
3.121 -6.377 -0.780
Au Li Sr Zn
6 1 2 1
Cartesian
4.510 -6.319 -3.060
4.652 -6.349 -5.936
2.746 -4.271 -5.150
3.881 -0.200 -3.717
3.374 -10.390 -4.493
2.603 -4.241 -2.274
2.067 -2.106 -3.715
5.578 -3.011 -4.261
1.677 -7.579 -3.949
0.000 0.000 0.000
```

Results
VASP energy ... -3.1356 eV per atom
Total magnetization ... 0.0 μB per formula unit
DOS(E_F) ... 3.24 states/eV per cell

---

Entry from Alexandria via LeMat-Bulk: a relaxed Sr2LiZn3Au4 crystal (PBE).

```
Sr2LiZn3Au4
1.0
4.552 0.000 0.000
0.000 4.552 0.000
0.000 0.000 10.640
Zn Sr Au Li
3 2 4 1
Cartesian
0.000 2.276 1.350
2.276 0.000 9.290
0.000 0.000 5.320
2.276 0.000 2.588
0.000 2.276 8.052
2.276 0.000 6.713
0.000 2.276 3.928
2.276 2.276 0.000
0.000 0.000 0.000
2.276 2.276 5.320
```

Results
VASP energy ... -2.7539 eV per atom
Total magnetization ... 0.0 μB per formula unit
DOS(E_F) ... 3.61 states/eV per cell

---

Entry from Alexandria via LeMat-Bulk: a relaxed Sr2LiZnAu2 crystal (PBE).

```
Sr2LiZnAu2
1.0
6.286 0.000 0.000
0.000 6.464 0.000
-3.143 -3.232 7.527
Au Sr Li Zn
4 4 2 2
Cartesian
-1.540 3.232 5.933
1.540 0.000 5.933
4.683 0.000 1.594
1.603 3.232 1.594
4.727 3.232 2.514
1.584 3.232 5.012
1.559 0.000 2.514
-1.584 0.000 5.012
0.000 4.848 0.000
0.000 1.616 0.000
3.143 4.848 0.000
3.143 1.616 0.000
```

Results
VASP energy ... -2.7543 eV per atom
Total magnetization ... 0.0 μB per formula unit
DOS(E_F) ... 8.20 states/eV per cell

---

Entry from Alexandria via LeMat-Bulk: a relaxed LiTa2Au crystal (PBE).

```
LiTa2Au
1.0
4.862 0.000 0.000
0.000 2.758 0.022
0.000 1.004 5.083
Li Ta Au
1 2 1
Cartesian
2.431 2.822 3.829
0.000 3.677 5.057
0.000 1.966 2.600
2.431 0.941 1.276
```

Results
VASP energy ... -7.0956 eV per atom
Total magnetization ... 0.0 μB per formula unit
DOS(E_F) ... 3.07 states/eV per cell
Excess energy over the best structure of this formula in the dataset ... 128.8 meV/atom

---

Entry from Alexandria via LeMat-Bulk: a relaxed LiTaAu2 crystal (PBE).

```
LiTaAu2
1.0
-2.777 -0.488 2.993
1.020 -3.972 0.298
5.224 -0.213 7.636
Au Li Ta
4 2 2
Cartesian
-0.246 -0.845 3.757
1.541 -2.606 2.529
3.280 -1.911 6.967
2.361 -3.983 8.601
2.683 -3.207 4.790
-0.878 -2.230 1.646
0.785 -1.466 6.137
0.000 0.000 0.000
```

Results
VASP energy ... -4.6651 eV per atom
Total magnetization ... 0.0 μB per formula unit
DOS(E_F) ... 5.06 states/eV per cell

---

Entry from Alexandria via LeMat-Bulk: a relaxed LiTaAu2 crystal (PBE).

```
LiTaAu2
1.0
-1.051 -2.220 -5.621
3.699 -3.658 -3.250
-3.523 1.336 4.841
Au Li Ta
2 1 1
Cartesian
0.001 -0.003 -0.004
-1.565 -2.042 -2.805
1.353 -3.002 -4.532
0.662 -2.433 -1.125
```

Results
VASP energy ... -5.1464 eV per atom
Total magnetization ... 0.0 μB per formula unit
DOS(E_F) ... 1.78 states/eV per cell

---

Entry from Alexandria via LeMat-Bulk: a relaxed LiTa2Au crystal (PBE).

```
LiTa2Au
1.0
-3.677 2.556 -2.721
-4.905 -0.199 1.833
4.754 1.067 1.927
Au Ta Li
1 2 1
Cartesian
-2.221 1.023 1.658
0.000 0.000 0.000
-4.291 1.178 -0.444
-1.607 2.401 -0.619
```

Results
VASP energy ... -7.0965 eV per atom
Total magnetization ... 0.0 μB per formula unit
DOS(E_F) ... 3.79 states/eV per cell
Excess energy over the best structure of this formula in the dataset ... 127.9 meV/atom

---

Entry from Alexandria via LeMat-Bulk: a relaxed LiTaAu4 crystal (PBE).

```
LiTaAu4
1.0
-2.559 -2.788 -3.882
-4.856 1.642 -1.765
-0.507 2.111 -4.968
Au Li Ta
4 1 1
Cartesian
-5.398 1.183 -4.863
-3.225 1.417 -6.464
-2.971 0.362 -3.981
-4.250 -1.032 -5.921
-5.941 0.724 -7.961
0.000 0.000 0.000
```

Results
VASP energy ... -4.2284 eV per atom
Total magnetization ... 0.0 μB per formula unit
DOS(E_F) ... 4.13 states/eV per cell
Excess energy over the best structure of this formula in the dataset ... 454.7 meV/atom

---

Entry from Alexandria via LeMat-Bulk: a relaxed LiTaAu2 crystal (PBE).

```
LiTaAu2
1.0
-2.124 -1.936 0.691
1.998 -1.628 1.582
0.421 2.224 7.532
Au Li Ta
2 1 1
Cartesian
1.243 0.217 4.433
1.965 -1.547 1.706
-0.457 -0.819 2.624
0.753 -0.521 7.180
```

Results
VASP energy ... -5.3084 eV per atom
Total magnetization ... 0.0 μB per formula unit
DOS(E_F) ... 2.11 states/eV per cell

---

Entry from Alexandria via LeMat-Bulk: a relaxed LiTaAu crystal (PBE).

```
LiTaAu
1.0
7.407 0.005 -0.004
6.749 2.684 0.022
0.658 -0.653 2.598
Li Ta Au
1 1 1
Cartesian
5.281 0.492 1.714
9.600 1.561 0.889
14.088 2.673 0.031
```

Results
VASP energy ... -5.6023 eV per atom
Total magnetization ... 0.0 μB per formula unit
DOS(E_F) ... 1.73 states/eV per cell
Excess energy over the best structure of this formula in the dataset ... 149.2 meV/atom

---

Entry from Alexandria via LeMat-Bulk: a relaxed LiTa4Au crystal (PBE).

```
LiTa4Au
1.0
0.000 3.856 3.856
3.856 0.000 3.856
3.856 3.856 0.000
Li Ta Au
1 4 1
Cartesian
0.000 0.000 0.000
2.882 2.882 2.882
2.882 4.829 4.829
4.829 2.882 4.829
4.829 4.829 2.882
5.783 5.783 5.783
```

Results
VASP energy ... -8.2804 eV per atom
Total magnetization ... 0.0 μB per formula unit
DOS(E_F) ... 4.95 states/eV per cell

---

Entry from Alexandria via LeMat-Bulk: a relaxed LiTa2Au crystal (PBE).

```
LiTa2Au
1.0
-0.556 -4.846 1.291
2.805 -1.150 4.034
-3.293 3.703 -0.954
Ta Au Li
2 1 1
Cartesian
0.000 0.000 0.000
0.318 -0.223 2.872
1.124 -2.998 2.663
-1.363 -2.071 1.500
```

Results
VASP energy ... -6.9592 eV per atom
Total magnetization ... 0.6 μB per formula unit
DOS(E_F) ... 5.25 states/eV per cell
Excess energy over the best structure of this formula in the dataset ... 265.2 meV/atom

---

Entry from Alexandria via LeMat-Bulk: a relaxed LiTa2Au crystal (PBE).

```
LiTa2Au
1.0
2.751 -0.003 0.000
-0.920 2.593 0.000
0.000 0.000 10.068
Au Ta Li
1 2 1
Cartesian
0.916 1.295 2.517
0.000 0.000 4.975
0.000 0.000 0.059
0.916 1.295 7.551
```

Results
VASP energy ... -6.9337 eV per atom
Total magnetization ... 0.0 μB per formula unit
DOS(E_F) ... 3.58 states/eV per cell
Excess energy over the best structure of this formula in the dataset ... 290.7 meV/atom

---

Entry from Alexandria via LeMat-Bulk: a relaxed LiTa2Au crystal (PBE).

```
LiTa2Au
1.0
-5.180 0.215 0.616
-4.453 -2.508 1.069
-1.375 0.466 5.022
Ta Au Li
2 1 1
Cartesian
-2.572 -0.473 1.286
-9.679 -2.245 2.048
-5.640 -0.875 3.802
-8.254 -1.439 4.609
```

Results
VASP energy ... -7.0998 eV per atom
Total magnetization ... 0.0 μB per formula unit
DOS(E_F) ... 2.04 states/eV per cell
Excess energy over the best structure of this formula in the dataset ... 124.6 meV/atom

---

Entry from Alexandria via LeMat-Bulk: a relaxed LiTaAu crystal (PBE).

```
LiTaAu
1.0
4.334 0.000 0.000
2.167 3.754 0.000
2.167 1.251 3.539
Ta Li Au
1 1 1
Cartesian
4.334 2.503 1.770
0.000 0.000 0.000
6.502 3.754 2.654
```

Results
VASP energy ... -5.3156 eV per atom
Total magnetization ... 0.0 μB per formula unit
DOS(E_F) ... 4.69 states/eV per cell
Excess energy over the best structure of this formula in the dataset ... 435.9 meV/atom

---

Entry from Alexandria via LeMat-Bulk: a relaxed LiTaAu2 crystal (PBE).

```
LiTaAu2
1.0
-2.886 2.942 1.893
-3.940 2.175 -0.557
-3.296 -4.041 2.684
Au Li Ta
2 1 1
Cartesian
-10.081 1.118 3.989
-5.102 0.497 2.040
-7.591 0.808 3.015
-2.530 0.269 1.005
```

Results
VASP energy ... -5.0594 eV per atom
Total magnetization ... 0.0 μB per formula unit
DOS(E_F) ... 2.36 states/eV per cell

---

Entry from Alexandria via LeMat-Bulk: a relaxed LiTa2Au crystal (PBE).

```
LiTa2Au
1.0
-1.713 -1.007 -4.143
2.834 -0.979 -3.482
0.261 -4.295 -1.612
Ta Au Li
2 1 1
Cartesian
0.346 -1.570 -2.309
0.000 0.000 0.000
0.691 -3.140 -4.619
1.037 -4.710 -6.928
```

Results
VASP energy ... -6.8682 eV per atom
Total magnetization ... 0.0 μB per formula unit
DOS(E_F) ... 5.27 states/eV per cell
Excess energy over the best structure of this formula in the dataset ... 356.1 meV/atom

---

Entry from Alexandria via LeMat-Bulk: a relaxed LiTa2Au crystal (PBE).

```
LiTa2Au
1.0
5.158 0.057 0.000
-2.288 4.623 0.000
0.000 0.000 2.826
Li Au Ta
1 1 2
Cartesian
-1.144 2.311 1.413
2.579 0.028 1.413
0.000 0.000 0.000
1.435 2.340 0.000
```

Results
VASP energy ... -7.0038 eV per atom
Total magnetization ... 0.0 μB per formula unit
DOS(E_F) ... 3.66 states/eV per cell
Excess energy over the best structure of this formula in the dataset ... 220.5 meV/atom

---

Entry from Alexandria via LeMat-Bulk: a relaxed LiTaAu2 crystal (PBE).

```
LiTaAu2
1.0
-1.735 -1.501 -2.424
1.536 -2.883 0.685
-4.350 -1.375 3.965
Li Ta Au
1 1 2
Cartesian
-2.003 -0.633 1.825
-3.376 -3.228 2.118
-4.324 -1.367 3.941
-1.370 -2.594 0.289
```

Results
VASP energy ... -5.0335 eV per atom
Total magnetization ... 0.0 μB per formula unit
DOS(E_F) ... 4.45 states/eV per cell

---

Entry from Alexandria via LeMat-Bulk: a relaxed LiTaAu crystal (PBE).

```
LiTaAu
1.0
4.868 0.003 0.002
2.178 4.354 -0.002
-2.959 -3.091 2.322
Au Ta Li
1 1 1
Cartesian
7.039 4.353 0.000
4.675 2.891 0.000
2.379 1.471 0.000
```

Results
VASP energy ... -5.5770 eV per atom
Total magnetization ... 0.0 μB per formula unit
DOS(E_F) ... 1.11 states/eV per cell
Excess energy over the best structure of this formula in the dataset ... 174.5 meV/atom

---

Entry from Alexandria via LeMat-Bulk: a relaxed LiTaAu crystal (PBE).

```
LiTaAu
1.0
-2.251 -0.551 7.153
-2.686 -0.254 -0.865
2.400 -9.466 -4.669
Ta Au Li
4 4 4
Cartesian
-0.514 -0.716 1.806
-0.657 -5.576 -0.961
-1.304 -4.106 5.256
-1.447 -8.966 2.489
0.147 -6.754 1.531
1.352 -7.294 -2.053
-2.396 -2.149 3.434
-1.191 -2.688 -0.151
-1.946 -6.163 3.216
-0.457 -8.814 -0.629
-0.314 -3.954 2.138
-1.803 -1.303 5.983
```

Results
VASP energy ... -5.7433 eV per atom
Total magnetization ... 0.0 μB per formula unit
DOS(E_F) ... 5.84 states/eV per cell
Excess energy over the best structure of this formula in the dataset ... 8.2 meV/atom